Here is a geometry-optimized Tl2CuAs structure from Alexandria via LeMat-Bulk. Energies are from GGA-PBE.

Cell and atoms, written as POSCAR:
```
Tl2CuAs
1.0
7.308 0.000 0.000
0.000 4.134 0.000
-2.325 0.000 6.320
Tl Cu As
4 2 2
Direct
0.245 0.000 0.236
0.255 0.500 0.764
0.745 0.500 0.236
0.755 0.000 0.764
0.000 0.500 0.000
0.500 0.000 0.000
0.000 0.000 0.500
0.500 0.500 0.500
```

Results
Formation energy = 299 meV/atom
Relative energy among the computed polymorphs = 328 meV per atom
D(E_F) = 3.69 states/eV per cell

---

Here is a geometry-optimized LaAl2Co structure from Alexandria via LeMat-Bulk. Energies are from GGA-PBE.

Cell and atoms, written as POSCAR:
```
LaAl2Co
1.0
3.181 0.000 0.000
0.000 3.181 0.000
0.000 0.000 7.322
La Al Co
1 2 1
Direct
0.000 0.000 0.000
0.000 0.000 0.566
0.500 0.500 0.339
0.500 0.500 0.708
```

Results
Formation energy = -214 meV/atom
D(E_F) = 2.31 states/eV per cell

---

Here is a geometry-optimized BeRu2Au structure from Alexandria via LeMat-Bulk. Energies are from GGA-PBE.

Cell and atoms, written as POSCAR:
```
BeRu2Au
1.0
6.086 0.000 0.000
0.000 6.086 0.000
0.000 0.000 6.086
Be Ru Au
4 8 4
Direct
0.000 0.000 0.000
0.000 0.500 0.500
0.500 0.000 0.500
0.500 0.500 0.000
0.000 0.000 0.500
0.000 0.500 0.000
0.250 0.250 0.750
0.250 0.750 0.250
0.500 0.000 0.000
0.500 0.500 0.500
0.750 0.250 0.250
0.750 0.750 0.750
0.250 0.250 0.250
0.250 0.750 0.750
0.750 0.250 0.750
0.750 0.750 0.250
```

Results
Formation energy = 368 meV/atom
D(E_F) = 17.16 states/eV per cell

---

Here is a geometry-optimized LaB2SbO8 structure from Alexandria via LeMat-Bulk. Energies are from GGA-PBE.

Cell and atoms, written as POSCAR:
```
LaB2SbO8
1.0
4.738 0.000 0.000
-2.369 4.104 0.000
0.000 0.000 6.987
La B Sb O
1 2 1 8
Direct
0.000 0.000 0.000
0.333 0.667 0.739
0.667 0.333 0.261
0.000 0.000 0.500
0.063 0.346 0.685
0.284 0.937 0.685
0.333 0.667 0.952
0.346 0.284 0.315
0.654 0.716 0.685
0.667 0.333 0.048
0.716 0.063 0.315
0.937 0.654 0.315
```

Results
Formation energy from raw total energies = -1959 meV per atom
D(E_F) = 8.42 states/eV per cell

---

Here is a geometry-optimized Tm4ZnPt structure from Alexandria via LeMat-Bulk. Energies are from GGA-PBE.

Cell and atoms, written as POSCAR:
```
Tm4ZnPt
1.0
0.000 6.647 6.647
6.647 0.000 6.647
6.647 6.647 0.000
Tm Zn Pt
16 4 4
Direct
0.185 0.185 0.815
0.185 0.815 0.185
0.185 0.815 0.815
0.390 0.390 0.390
0.390 0.390 0.830
0.390 0.830 0.390
0.560 0.560 0.940
0.560 0.940 0.560
0.560 0.940 0.940
0.815 0.185 0.185
0.815 0.185 0.815
0.815 0.815 0.185
0.830 0.390 0.390
0.940 0.560 0.560
0.940 0.560 0.940
0.940 0.940 0.560
0.168 0.168 0.168
0.168 0.168 0.496
0.168 0.496 0.168
0.496 0.168 0.168
0.188 0.604 0.604
0.604 0.188 0.604
0.604 0.604 0.188
0.604 0.604 0.604
```

Results
Formation energy = -612 meV/atom
Relative energy among the computed polymorphs = 0 meV per atom
D(E_F) = 22.54 states/eV per cell

---

Here is a geometry-optimized ZrTa2Hg structure from Alexandria via LeMat-Bulk. Energies are from GGA-PBE.

Cell and atoms, written as POSCAR:
```
ZrTa2Hg
1.0
2.911 0.000 0.000
0.000 2.911 0.000
0.000 0.000 9.406
Zr Ta Hg
1 2 1
Direct
0.000 0.000 0.000
0.500 0.500 0.255
0.500 0.500 0.745
0.000 0.000 0.500
```

Results
Formation energy = 254 meV/atom
D(E_F) = 3.81 states/eV per cell

---

Here is a geometry-optimized Nd3Rh2 structure from Alexandria via LeMat-Bulk. Energies are from GGA-PBE.

Cell and atoms, written as POSCAR:
```
Nd3Rh2
1.0
3.533 2.040 6.532
-3.533 2.040 6.532
0.000 -4.079 6.532
Nd Rh
6 4
Direct
0.095 0.750 0.405
0.250 0.595 0.905
0.405 0.095 0.750
0.595 0.905 0.250
0.750 0.405 0.095
0.905 0.250 0.595
0.172 0.172 0.172
0.328 0.328 0.328
0.672 0.672 0.672
0.828 0.828 0.828
```

Results
Formation energy = -564 meV/atom
Relative energy among the computed polymorphs = 57 meV per atom
D(E_F) = 5.12 states/eV per cell

---

Here is a geometry-optimized CrNi2Pt structure from Alexandria via LeMat-Bulk. Energies are from GGA-PBE.

Cell and atoms, written as POSCAR:
```
CrNi2Pt
1.0
8.571 0.000 0.000
0.000 2.638 0.000
-0.824 0.000 4.366
Cr Ni Pt
2 4 2
Direct
0.000 0.000 0.000
0.500 0.500 0.000
0.006 0.500 0.526
0.253 0.000 0.755
0.506 0.000 0.526
0.753 0.500 0.755
0.253 0.500 0.252
0.753 0.000 0.252
```

Results
Formation energy = -43 meV/atom
D(E_F) = 9.76 states/eV per cell

---

Number 1: calculated total energy -0.1129 hartree per atom. Number 2: calculated total energy -0.1872 hartree per atom. Number 3: calculated total energy -0.2212 hartree per atom. Number 4: calculated total energy -0.2621 hartree per atom. Number 5: calculated total energy -0.1769 hartree per atom. Number 6: calculated total energy -0.2898 hartree per atom. Number 7: calculated total energy -0.2339 hartree per atom. Number 8: calculated total energy -0.2517 hartree per atom.